Entry 1:
Below is MnHg3 after structural relaxation, with properties calculated at the PBE level. Values from VASP.

Quantum ESPRESSO input file:
```
&SYSTEM
  ibrav = 0, nat = 8, ntyp = 2
/
ATOMIC_SPECIES
Mn 54.94 Mn.upf
Hg 200.59 Hg.upf
CELL_PARAMETERS angstrom
4.687 0.000 0.000
0.000 6.255 0.000
0.000 0.000 5.903
ATOMIC_POSITIONS crystal
Mn 0.250 0.250 0.206
Mn 0.750 0.750 0.794
Hg 0.250 0.003 0.664
Hg 0.250 0.497 0.664
Hg 0.250 0.750 0.117
Hg 0.750 0.250 0.883
Hg 0.750 0.503 0.336
Hg 0.750 0.997 0.336
```

Output
ρ, g/cm3: 12.60
Calculated total energy, eV per atom: -2.233
Energy of formation, eV/atom: 0.29

=====

Entry 2:
Below is MnHg after structural relaxation, with properties calculated at the PBE level. Values from VASP.

Quantum ESPRESSO input file:
```
&SYSTEM
  ibrav = 0, nat = 6, ntyp = 2
/
ATOMIC_SPECIES
Mn 54.94 Mn.upf
Hg 200.59 Hg.upf
CELL_PARAMETERS angstrom
6.511 0.000 0.000
-3.255 5.638 0.000
0.000 0.000 2.823
ATOMIC_POSITIONS crystal
Mn 0.000 0.188 0.000
Mn 0.188 0.000 0.000
Mn 0.812 0.812 0.000
Hg 0.000 0.561 0.500
Hg 0.439 0.439 0.500
Hg 0.561 0.000 0.500
```

Output
ρ, g/cm3: 12.28
Calculated total energy, eV per atom: -4.181
Energy of formation, eV/atom: 0.55

=====

Entry 3:
Below is Mn3Hg after structural relaxation, with properties calculated at the PBE level. Values from VASP.

Quantum ESPRESSO input file:
```
&SYSTEM
  ibrav = 0, nat = 16, ntyp = 2
/
ATOMIC_SPECIES
Mn 54.94 Mn.upf
Hg 200.59 Hg.upf
CELL_PARAMETERS angstrom
6.348 0.000 0.000
0.000 6.348 0.000
0.000 0.000 6.348
ATOMIC_POSITIONS crystal
Mn 0.000 0.000 0.000
Mn 0.000 0.500 0.500
Mn 0.250 0.250 0.250
Mn 0.250 0.250 0.750
Mn 0.250 0.750 0.250
Mn 0.250 0.750 0.750
Mn 0.500 0.000 0.500
Mn 0.500 0.500 0.000
Mn 0.750 0.250 0.250
Mn 0.750 0.250 0.750
Mn 0.750 0.750 0.250
Mn 0.750 0.750 0.750
Hg 0.000 0.000 0.500
Hg 0.000 0.500 0.000
Hg 0.500 0.000 0.000
Hg 0.500 0.500 0.500
```

Output
ρ, g/cm3: 9.49
Calculated total energy, eV per atom: -6.599
Energy of formation, eV/atom: 0.35

=====

Entry 4:
Below is Mn3Hg after structural relaxation, with properties calculated at the PBE level. Values from VASP.

Quantum ESPRESSO input file:
```
&SYSTEM
  ibrav = 0, nat = 8, ntyp = 2
/
ATOMIC_SPECIES
Mn 54.94 Mn.upf
Hg 200.59 Hg.upf
CELL_PARAMETERS angstrom
4.612 0.000 0.000
0.000 5.534 0.000
0.000 0.000 4.996
ATOMIC_POSITIONS crystal
Mn 0.250 0.001 0.146
Mn 0.250 0.250 0.660
Mn 0.250 0.499 0.146
Mn 0.750 0.501 0.854
Mn 0.750 0.750 0.340
Mn 0.750 0.999 0.854
Hg 0.250 0.750 0.653
Hg 0.750 0.250 0.347
```

Output
ρ, g/cm3: 9.52
Calculated total energy, eV per atom: -6.488
Energy of formation, eV/atom: 0.46